[1]
KNiSb3 GGA-PBE relaxed; space-group type = Pm-3m (221); final energy = -2.030 eV/atom; spin magnetization = 0.63 μB/f.u.; D(E_F) = 15.21 states/eV/f.u.; energy relative to the lowest polymorph listed for this composition = 192.9 kJ per mole of atoms
1.0
-5.099 -2.656 -0.339
2.456 -4.930 1.681
-1.065 1.344 5.498
Sb K Ni
3 1 1
direct
0.000 0.500 0.000
0.000 0.000 0.500
0.500 0.000 0.000
0.000 0.000 0.000
0.500 0.500 0.500

[2]
KNiSb3 GGA-PBE relaxed; space-group type = P2_1 (4); final energy = -4.029 eV/atom; spin magnetization = 0.00 μB/f.u.; D(E_F) = 2.48 states/eV/f.u.; energy relative to the lowest polymorph listed for this composition = 0.0 kJ per mole of atoms
1.0
6.065 -0.001 0.000
0.000 7.010 0.001
0.000 0.004 6.795
K Ni Sb
2 2 6
direct
0.441 0.320 0.701
0.942 0.032 0.200
0.159 0.746 0.701
0.659 0.607 0.201
0.339 0.382 0.201
0.470 0.822 0.942
0.969 0.530 0.443
0.839 0.972 0.700
0.970 0.530 0.959
0.469 0.823 0.459

[3]
K2NiSb GGA-PBE relaxed; space-group type = P4/mmm (123); final energy = -2.647 eV/atom; spin magnetization = 0.32 μB/f.u.; D(E_F) = 6.13 states/eV/f.u.
1.0
3.323 0.000 0.000
0.000 3.323 0.000
0.000 0.000 10.257
K Ni Sb
2 1 1
direct
0.000 0.000 0.020
0.000 0.000 0.480
0.500 0.500 0.250
0.500 0.500 0.750

[4]
K2NiSb2 GGA-PBE relaxed; space-group type = P4/mbm (127); final energy = -3.462 eV/atom; spin magnetization = 0.00 μB/f.u.; D(E_F) = 2.68 states/eV/f.u.
1.0
-2.751 5.225 -3.553
-4.093 1.479 5.344
4.123 3.634 2.152
Sb K Ni
4 4 2
direct
0.347 0.847 0.000
0.847 0.653 0.000
0.653 0.153 0.000
0.153 0.347 0.000
0.169 0.669 0.500
0.669 0.831 0.500
0.831 0.331 0.500
0.331 0.169 0.500
0.000 0.000 0.000
0.500 0.500 0.000

Please write out number 4 again, unchanged.
K2NiSb2 GGA-PBE relaxed; space-group type = P4/mbm (127); final energy = -3.462 eV/atom; spin magnetization = 0.00 μB/f.u.; D(E_F) = 2.68 states/eV/f.u.
1.0
-2.751 5.225 -3.553
-4.093 1.479 5.344
4.123 3.634 2.152
Sb K Ni
4 4 2
direct
0.347 0.847 0.000
0.847 0.653 0.000
0.653 0.153 0.000
0.153 0.347 0.000
0.169 0.669 0.500
0.669 0.831 0.500
0.831 0.331 0.500
0.331 0.169 0.500
0.000 0.000 0.000
0.500 0.500 0.000